Computed, not measured: a relaxed structure of RbHoSnSe3 at the GGA-PBE level of DFT.

The value obtained for the raw total energy is -108.42 eV for the cell shown. The value obtained for the formation energy from raw total energies is -1.1839 eV/atom. The theoretical density is 4721 kg/m³. The calculation puts the size of the total moment at 0.0 μB per formula unit.

The space group is Cmcm (No. 63) and the conventional cell measures 4.116, 17.464 and 11.862 Å, with angles of 90.00, 90.00 and 90.00 degrees. The distinct sites, in fractional coordinates, are Rb at (0.000, 0.189, 0.250), Ho at (0.000, 0.500, 0.000), Sn at (0.000, 0.113, 0.750), Se at (0.000, 0.112, 0.504) and Se at (0.000, 0.494, 0.250).

Computed, not measured: a relaxed structure of Rb3Ho2SnSe6 at the GGA-PBE level of DFT.

The value obtained for the raw total energy is -107.05 eV for the cell shown. The value obtained for the formation energy from raw total energies is -1.3798 eV/atom. The theoretical density is 5234 kg/m³. The calculation puts the size of the total moment at 0.0 μB per formula unit.

The space group is C2/m (No. 12) and the conventional cell measures 7.356, 12.742 and 8.348 Å, with angles of 90.00, 107.07 and 90.00 degrees. The distinct sites, in fractional coordinates, are Rb at (0.000, 0.000, 0.000), Rb at (0.000, 0.335, 0.000), Ho at (0.000, 0.167, 0.500), Sn at (0.000, 0.500, 0.500), Se at (0.228, 0.000, 0.694) and Se at (0.233, 0.332, 0.694).

Computed, not measured: a relaxed structure of Rb3SrHo2Se6 at the GGA-PBE level of DFT.

The value obtained for the raw total energy is -107.49 eV for the cell shown. The value obtained for the formation energy from raw total energies is -1.5914 eV/atom. The theoretical density is 4886 kg/m³. The calculation puts the size of the total moment at 0.0 μB per formula unit.

The space group is C2/m (No. 12) and the conventional cell measures 7.488, 12.975 and 8.412 Å, with angles of 90.00, 107.35 and 90.00 degrees. The distinct sites, in fractional coordinates, are Rb at (0.000, 0.000, 0.000), Rb at (0.000, 0.338, 0.000), Sr at (0.000, 0.500, 0.500), Ho at (0.000, 0.167, 0.500), Se at (0.210, 0.000, 0.697) and Se at (0.245, 0.322, 0.699).

Computed, not measured: a relaxed structure of Rb4Tb3HoSe8 at the GGA-PBE level of DFT.

The value obtained for the raw total energy is -234.20 eV for the cell shown. The value obtained for the formation energy from raw total energies is -1.7407 eV/atom. The theoretical density is 5359 kg/m³. The calculation puts the size of the total moment at 0.0 μB per formula unit.

The space group is R-3m (No. 166, hexagonal axes) and the conventional cell measures 8.5016, 8.5016 and 23.9876 Å, with angles of 90.00, 90.00 and 120.00 degrees. The distinct sites, in fractional coordinates, are Rb at (0.0000, 0.0000, 0.0000), Rb at (0.0000, 0.5000, 0.0000), Tb at (0.0000, 0.5000, 0.5000), Ho at (0.0000, 0.0000, 0.5000), Se at (0.0000, 0.0000, 0.2322) and Se at (0.0019, 0.5010, 0.2319).

Computed, not measured: a relaxed structure of Rb3Ho2ThSe6 at the GGA-PBE level of DFT.

The value obtained for the raw total energy is -120.53 eV for the cell shown. The value obtained for the formation energy from raw total energies is -1.6566 eV/atom. The theoretical density is 5706 kg/m³. The calculation puts the size of the total moment at 0.0 μB per formula unit.

The space group is C2/m (No. 12) and the conventional cell measures 7.347, 12.724 and 8.410 Å, with angles of 90.00, 106.95 and 90.00 degrees. The distinct sites, in fractional coordinates, are Rb at (0.000, 0.000, 0.000), Rb at (0.000, 0.334, 0.000), Ho at (0.000, 0.167, 0.500), Th at (0.000, 0.500, 0.500), Se at (0.228, 0.000, 0.699) and Se at (0.235, 0.331, 0.699).

Computed, not measured: a relaxed structure of Rb4Ho3ThSe8 at the GGA-PBE level of DFT.

The value obtained for the raw total energy is -239.12 eV for the cell shown. The value obtained for the formation energy from raw total energies is -1.6754 eV/atom. The theoretical density is 5652 kg/m³. The calculation puts the size of the total moment at 0.0 μB per formula unit.

The space group is R-3m (No. 166, hexagonal axes) and the conventional cell measures 8.4766, 8.4766 and 24.0828 Å, with angles of 90.00, 90.00 and 120.00 degrees. The distinct sites, in fractional coordinates, are Rb at (0.0000, 0.0000, 0.0000), Rb at (0.0000, 0.5000, 0.0000), Ho at (0.0000, 0.5000, 0.5000), Th at (0.0000, 0.0000, 0.5000), Se at (0.0000, 0.0000, 0.2316) and Se at (0.0041, 0.5020, 0.7671).

Computed, not measured: a relaxed structure of Rb2Ho2TiSe6 at the GGA-PBE level of DFT.

The value obtained for the raw total energy is -113.61 eV for the cell shown. The value obtained for the formation energy from raw total energies is -1.5374 eV/atom. The theoretical density is 4959 kg/m³. The calculation puts the size of the total moment at 0.0 μB per formula unit.

The space group is C2/m (No. 12) and the conventional cell measures 6.985, 11.985 and 8.538 Å, with angles of 90.00, 106.66 and 90.00 degrees. The distinct sites, in fractional coordinates, are Rb at (0.000, 0.172, 0.000), Ho at (0.000, 0.333, 0.500), Ti at (0.000, 0.000, 0.500), Se at (0.221, 0.154, 0.688) and Se at (0.242, 0.000, 0.315).

Computed, not measured: a relaxed structure of Rb3Ho2TlSe6 at the GGA-PBE level of DFT.

The value obtained for the raw total energy is -102.32 eV for the cell shown. The value obtained for the formation energy from raw total energies is -1.3189 eV/atom. The theoretical density is 5591 kg/m³. The calculation puts the size of the total moment at 0.0 μB per formula unit.

The space group is C2/m (No. 12) and the conventional cell measures 7.351, 12.730 and 8.389 Å, with angles of 90.00, 106.95 and 90.00 degrees. The distinct sites, in fractional coordinates, are Rb at (0.000, 0.000, 0.000), Rb at (0.000, 0.335, 0.000), Ho at (0.000, 0.167, 0.500), Tl at (0.000, 0.500, 0.500), Se at (0.227, 0.000, 0.696) and Se at (0.234, 0.331, 0.696).